# 1
Material: Li2FeP2O7
Method: DFT, SCAN
State: single point on PBEsol structure

Geometry as POSCAR:
```
Li2FeP2O7
1.0
6.198 0.000 0.000
0.000 7.324 0.000
3.099 3.662 6.503
O P Li Fe
14 4 4 2
Cartesian
3.099 2.529 3.251 O
3.099 2.223 0.758 O
1.265 6.809 1.801 O
7.463 6.809 4.702 O
4.364 4.177 1.801 O
6.198 1.439 0.758 O
6.198 8.763 5.745 O
6.198 8.457 3.251 O
8.032 4.177 4.702 O
1.834 4.177 1.801 O
4.933 6.809 4.702 O
3.099 9.547 5.745 O
4.364 4.177 4.702 O
4.933 6.809 1.801 O
6.198 7.702 4.680 P
6.198 7.702 1.823 P
3.099 3.284 1.823 P
3.099 3.284 4.680 P
1.549 5.493 0.297 Li
7.747 5.493 6.206 Li
4.648 5.493 6.206 Li
4.648 5.493 0.297 Li
1.549 5.493 3.251 Fe
4.648 5.493 3.251 Fe
```

Computed properties:
Its space group is Imma, No. 74. The excess energy over the best structure of this formula in the dataset comes out at 35.9 meV per atom.

---

# 2
Material: Li2FePO5
Method: DFT, SCAN
State: single point on PBEsol structure

Geometry as POSCAR:
```
Li2FePO5
1.0
4.434 0.000 0.000
0.000 6.350 0.000
0.000 0.000 6.350
O Li P Fe
10 4 2 2
Cartesian
0.928 5.112 0.000 O
0.928 3.175 4.413 O
0.928 1.238 0.000 O
2.970 3.175 0.000 O
3.506 0.000 1.238 O
1.464 0.000 3.175 O
3.506 0.000 5.112 O
3.506 4.413 3.175 O
3.506 1.937 3.175 O
0.928 3.175 1.937 O
2.217 1.588 4.763 Li
2.217 4.763 1.588 Li
2.217 4.763 4.763 Li
2.217 1.588 1.588 Li
0.000 0.000 0.000 P
0.000 3.175 3.175 P
0.301 3.175 0.000 Fe
4.133 0.000 3.175 Fe
```

Computed properties:
Its space group is P4/nmm, No. 129. The total energy is -170.4 eV/cell.

---

# 3
Material: LiFeP2O7
Method: DFT, SCAN
State: single point on PBEsol structure

Geometry as POSCAR:
```
LiFeP2O7
1.0
4.518 0.004 0.005
-0.773 5.141 -0.003
-0.773 -1.252 4.987
O Fe P Li
7 1 2 1
Cartesian
1.867 3.768 4.083 O
1.105 0.848 0.343 O
2.872 2.600 0.613 O
0.100 3.931 2.318 O
1.486 1.788 2.618 O
3.236 0.351 1.746 O
-0.264 2.286 4.224 O
-0.773 4.330 0.630 Fe
0.756 3.018 3.342 P
2.217 1.385 1.250 P
-0.773 0.337 3.747 Li
```

Computed properties:
Its space group is C2, No. 5. The excess energy over the best structure of this formula in the dataset comes out at 0.0 meV per atom. The calculation puts the density of states at the Fermi level at 0.000 states/eV/f.u.

---

# 4
Material: Li2FeP2O7
Method: DFT, SCAN
State: single point on PBEsol structure

Geometry as POSCAR:
```
Li2FeP2O7
1.0
-4.193 -2.363 1.508
3.736 -1.529 6.746
-4.591 11.421 5.131
Li Fe P O
8 4 8 28
Cartesian
0.549 0.634 5.908 Li
-3.903 1.427 3.833 Li
-5.596 6.896 7.476 Li
-0.739 -2.073 7.630 Li
-1.832 3.160 4.980 Li
-1.145 6.102 9.551 Li
-3.216 4.370 8.403 Li
-4.309 9.603 5.754 Li
-4.318 6.551 10.643 Fe
-3.270 6.458 5.600 Fe
-1.777 1.072 7.783 Fe
-0.729 0.979 2.741 Fe
-2.154 -0.464 5.192 P
-0.310 3.823 7.592 P
-2.231 -1.678 2.689 P
-2.817 9.208 10.694 P
1.128 1.653 8.574 P
-4.738 3.706 5.791 P
-6.175 5.877 4.809 P
-2.894 7.994 8.192 P
-2.103 0.788 4.314 O
1.817 -0.770 5.975 O
-2.945 6.742 9.070 O
-1.427 8.529 10.705 O
-3.559 4.554 10.527 O
-6.865 8.300 7.409 O
-5.667 5.952 9.203 O
-5.518 4.438 4.539 O
-1.166 -0.821 1.973 O
-4.075 4.836 6.614 O
-3.745 2.787 5.141 O
0.620 1.578 4.181 O
-0.013 0.638 8.760 O
1.672 1.677 7.145 O
-5.035 6.891 4.624 O
-1.488 2.976 2.857 O
-3.900 7.915 7.036 O
-6.720 5.853 6.239 O
-3.313 9.231 9.124 O
-1.673 5.369 5.071 O
-3.621 -0.999 2.679 O
-1.735 -1.701 4.260 O
0.471 3.092 8.844 O
-1.148 -0.385 6.348 O
-1.303 4.742 8.243 O
-0.973 2.694 6.769 O
-3.882 8.351 11.411 O
-3.375 2.161 8.313 O
```

Computed properties:
Its space group is P2_1/c, No. 14. The excess energy over the best structure of this formula in the dataset comes out at 10.8 meV per atom.

---

# 5
Material: LiFe4P4O16
Method: DFT, SCAN
State: single point on PBEsol structure

Geometry as POSCAR:
```
LiFe4P4O16
1.0
5.323 0.000 0.000
2.662 7.390 -0.027
2.662 3.154 6.683
O P Fe Li
16 4 4 1
Cartesian
2.662 5.305 0.905 O
5.323 3.206 4.248 O
6.718 7.776 5.224 O
7.985 5.742 6.012 O
6.619 3.331 6.403 O
2.662 2.647 4.058 O
4.028 3.331 6.403 O
3.929 2.483 1.883 O
3.896 5.398 3.127 O
7.985 7.444 2.256 O
6.751 5.398 3.127 O
9.252 7.776 5.224 O
1.395 2.483 1.883 O
5.323 7.864 2.723 O
5.323 4.703 0.727 O
5.323 5.329 5.589 O
2.662 5.925 2.293 P
2.662 1.995 2.665 P
5.323 3.800 5.660 P
7.985 7.280 6.001 P
5.323 1.341 0.879 Fe
5.323 6.628 4.178 Fe
5.323 9.174 5.823 Fe
5.323 3.921 2.469 Fe
2.662 4.516 4.525 Li
```

Computed properties:
Its space group is Imm2, No. 44. The excess energy over the best structure of this formula in the dataset comes out at 0.0 meV per atom. The calculation puts the density of states at the Fermi level at 4.367 states/eV/f.u.

---

# 6
Material: Li4Fe3SbP4O16
Method: DFT, SCAN
State: single point on PBEsol structure

Geometry as POSCAR:
```
Li4Fe3SbP4O16
1.0
-0.032 0.992 -4.588
-2.006 -5.554 -1.187
-10.213 3.379 1.447
O P Li Fe Sb
16 4 4 3 1
Cartesian
-1.330 -1.946 -3.928 O
-9.668 3.494 -0.014 O
-0.786 1.024 -3.467 O
-4.916 -1.978 -3.861 O
-6.610 -0.168 -3.328 O
-10.194 0.519 -0.484 O
-5.384 -1.107 -1.006 O
-9.087 1.866 -2.407 O
-4.901 1.790 -0.093 O
-4.110 0.254 -3.384 O
-9.908 -0.406 -2.892 O
-8.506 -1.934 -0.832 O
-6.195 2.759 -2.442 O
-7.328 1.327 -0.136 O
-1.900 -0.348 -1.587 O
-3.063 -3.567 -2.275 O
-10.195 0.839 -1.982 P
-0.797 0.707 -1.961 P
-5.314 -0.466 -4.122 P
-6.245 2.114 0.659 P
-6.849 -1.874 -2.258 Li
-5.889 0.786 -1.690 Li
-10.561 1.949 1.023 Li
-11.556 -0.805 0.434 Li
-2.995 -1.597 -2.748 Fe
-8.390 -0.327 0.427 Fe
-8.026 3.165 -1.248 Fe
-2.936 0.977 0.388 Sb
```

Computed properties:
Its space group is Pm, No. 6. The total energy is -302.7 eV/cell. The calculation puts the density of states at the Fermi level at 4.730 states/eV/f.u.

---

# 7
Material: Li2FeSnP2O8
Method: DFT, SCAN
State: single point on PBEsol structure

Geometry as POSCAR:
```
Li2FeSnP2O8
1.0
-1.886 0.843 -4.359
-5.291 -1.352 2.028
-0.915 10.942 4.908
O P Fe Li Sn
16 4 2 4 2
Cartesian
-5.085 8.911 1.735 O
-3.317 6.809 0.070 O
-5.826 5.523 1.034 O
-5.466 -0.269 -1.890 O
-0.801 2.086 -0.004 O
-2.266 4.910 1.544 O
-3.007 1.522 0.842 O
-3.687 6.617 2.608 O
-2.845 1.209 -2.434 O
-4.405 3.816 -0.031 O
-1.390 7.204 1.727 O
-7.292 8.347 2.581 O
-2.626 10.701 4.467 O
-4.775 3.623 2.507 O
-5.247 9.224 5.011 O
-6.702 3.229 0.850 O
-6.511 9.575 1.947 P
-5.397 4.028 1.157 P
-1.581 0.858 0.630 P
-2.696 6.405 1.420 P
-2.436 3.464 0.136 Fe
-5.656 6.969 2.441 Fe
-0.943 0.421 -2.179 Li
-3.589 -0.255 -1.165 Li
-3.103 4.795 3.468 Li
-0.457 5.471 2.454 Li
-5.934 2.146 -1.500 Sn
-2.158 8.286 4.077 Sn
```

Computed properties:
Its space group is P2_1/m, No. 11. The total energy is -320.5 eV/cell.

---

# 8
Material: Li3VFeP4O14
Method: DFT, SCAN
State: single point on PBEsol structure

Geometry as POSCAR:
```
Li3VFeP4O14
1.0
-1.269 4.319 -2.031
-2.586 -1.174 -6.404
-7.458 -0.623 3.215
Li O P V Fe
3 14 4 1 1
Cartesian
-5.398 2.593 -4.739 Li
-7.443 -0.216 0.237 Li
-3.946 0.073 -5.843 Li
-4.279 2.216 -0.394 O
-7.393 0.526 -3.599 O
-4.116 0.229 -2.477 O
-1.814 0.238 -3.503 O
-8.531 2.139 -2.004 O
-5.690 0.059 1.185 O
-4.872 2.609 -6.798 O
-2.634 2.289 -2.363 O
-2.863 -0.032 0.107 O
-9.542 2.613 -4.790 O
-3.717 1.577 -4.563 O
-9.907 0.005 -3.659 O
-6.216 2.583 -2.961 O
-6.579 0.738 -1.216 O
-8.510 -0.625 -3.796 P
-3.407 3.130 -1.221 P
-7.175 1.545 -2.369 P
-3.083 1.037 -3.270 P
-4.739 0.272 -0.572 V
-10.244 1.990 -3.097 Fe
```

Computed properties:
Its space group is P1, No. 1. The total energy is -228.6 eV/cell. The calculation puts the density of states at the Fermi level at 5.915 states/eV/f.u.